The following is a GGA-PBE calculation of crystalline NpZnH8Rh2 at its relaxed geometry, from Alexandria via LeMat-Bulk.

Space group ... No. 148
D(E_F) ... 10.1 states/eV/f.u.
Magnetic moment ... 4.56 μB per formula unit
E_tot ... -55.70 eV/cell
Volume ... 104.8 Å³ per cell

The structure in POSCAR format:
```
NpZnH8Rh2
1.0
-0.801 0.720 4.553
3.400 -0.762 3.123
2.533 5.228 2.023
Zn H Rh Np
1 8 2 1
Direct
0.000 0.000 0.000
0.611 0.334 0.161
0.190 0.190 0.429
0.810 0.810 0.571
0.894 0.611 0.161
0.389 0.666 0.839
0.666 0.106 0.839
0.106 0.389 0.839
0.334 0.894 0.161
0.294 0.294 0.118
0.706 0.706 0.882
0.500 0.500 0.500
```

=====

The following is a GGA-PBE calculation of crystalline Nd2SmInH at its relaxed geometry, from Alexandria via LeMat-Bulk.

Space group ... No. 123
D(E_F) ... 7.6 states/eV/f.u.
Magnetic moment ... 1.00 μB per formula unit
E_tot ... -22.14 eV/cell
Volume ... 124.5 Å³ per cell

The structure in POSCAR format:
```
Nd2SmInH
1.0
5.029 0.000 0.000
0.000 4.976 0.000
0.000 0.000 4.976
In Sm Nd H
1 1 2 1
Direct
0.500 0.500 0.500
0.500 0.000 0.000
0.000 0.000 0.500
0.000 0.500 0.000
0.000 0.000 0.000
```

=====

The following is a GGA-PBE calculation of crystalline KSrY2 at its relaxed geometry, from Alexandria via LeMat-Bulk.

Formation enthalpy at 0 K ... 1.7 eV/f.u.
Offset from the most stable computed form ... 211 meV/atom
Space group ... No. 10
D(E_F) ... 6.2 states/eV/f.u.
Magnetic moment ... 0.00 μB per formula unit
Volume ... 164.9 Å³ per cell

The structure in POSCAR format:
```
KSrY2
1.0
6.575 0.000 0.000
0.000 3.677 0.002
0.000 0.742 6.819
Y Sr K
2 1 1
Direct
0.000 0.011 0.984
0.000 0.489 0.516
0.500 0.750 0.750
0.500 0.250 0.250
```